Pr3NiSn3Pd2 | OQMD via LeMat-Bulk | GGA-PBE | relaxed; final energy = -5.521 eV per atom
1.0
7.680 0.000 0.000
-3.840 6.651 0.000
0.000 0.000 4.092
Pr Ni Sn Pd
3 1 3 2
direct
0.000 0.591 0.000
0.409 0.409 0.000
0.591 0.000 0.000
0.000 0.000 0.000
0.000 0.242 0.500
0.242 0.000 0.500
0.758 0.758 0.500
0.333 0.667 0.500
0.667 0.333 0.500